Record 1
# Y2TlSiOs

An optimized crystal structure of Y2TlSiOs (PBE, the Alexandria database).

Cell lengths 5.297, 4.837, 5.297 Å; angles 90.00, 90.00, 90.00 degrees
Atoms (fractional coordinates):
1 Y 0.000 0.000 0.500
2 Y 0.500 0.000 0.000
3 Tl 0.000 0.500 0.000
4 Os 0.500 0.500 0.500
5 Si 0.000 0.000 0.000


Record 2
# Tm2SiOs2

An optimized crystal structure of Tm2SiOs2 (PBE, the Alexandria database).

Cell lengths 5.603, 5.603, 7.479 Å; angles 79.02, 79.02, 58.92 degrees
Atoms (fractional coordinates):
1 Tm 0.499 0.212 0.144
2 Tm 0.788 0.501 0.356
3 Tm 0.501 0.788 0.856
4 Tm 0.212 0.499 0.644
5 Si 0.093 0.907 0.250
6 Si 0.907 0.093 0.750
7 Os 0.714 0.013 0.512
8 Os 0.987 0.286 0.988
9 Os 0.286 0.987 0.488
10 Os 0.013 0.714 0.012


Record 3
# Tm2Si4Os3

An optimized crystal structure of Tm2Si4Os3 (PBE, the Alexandria database).

Calculated values
Relative energy among the computed polymorphs (meV per atom): 0

Cell lengths 5.718, 6.972, 7.842 Å; angles 90.00, 111.38, 90.00 degrees
Atoms (fractional coordinates):
1 Tm 0.111 0.594 0.221
2 Tm 0.889 0.406 0.779
3 Tm 0.389 0.094 0.779
4 Tm 0.611 0.906 0.221
5 Si 0.688 0.750 0.877
6 Si 0.812 0.250 0.123
7 Si 0.312 0.250 0.123
8 Si 0.188 0.750 0.877
9 Si 0.178 0.978 0.355
10 Si 0.822 0.022 0.645
11 Si 0.322 0.478 0.645
12 Si 0.678 0.522 0.355
13 Os 0.000 0.000 0.000
14 Os 0.500 0.500 0.000
15 Os 0.522 0.750 0.544
16 Os 0.978 0.250 0.456
17 Os 0.478 0.250 0.456
18 Os 0.022 0.750 0.544


Record 4
# TmSi2Os4

An optimized crystal structure of TmSi2Os4 (PBE, the Alexandria database).

Cell lengths 3.962, 3.980, 7.271 Å; angles 105.88, 90.00, 90.00 degrees
Atoms (fractional coordinates):
1 Tm 0.000 0.000 0.000
2 Si 0.500 0.583 0.167
3 Si 0.500 0.417 0.833
4 Os 0.500 0.815 0.629
5 Os 0.000 0.688 0.377
6 Os 0.500 0.185 0.371
7 Os 0.000 0.312 0.623


Record 5
# Tm4Si6Os7

An optimized crystal structure of Tm4Si6Os7 (PBE, the Alexandria database).

Cell lengths 7.100, 7.100, 7.100 Å; angles 109.47, 109.47, 109.47 degrees
Atoms (fractional coordinates):
1 Tm 0.500 0.000 0.000
2 Tm 0.500 0.500 0.500
3 Tm 0.000 0.500 0.000
4 Tm 0.000 0.000 0.500
5 Si 0.687 0.000 0.687
6 Si 0.687 0.687 0.000
7 Si 0.000 0.313 0.313
8 Si 0.313 0.000 0.313
9 Si 0.313 0.313 0.000
10 Si 0.000 0.687 0.687
11 Os 0.750 0.500 0.250
12 Os 0.250 0.750 0.500
13 Os 0.500 0.750 0.250
14 Os 0.750 0.250 0.500
15 Os 0.250 0.500 0.750
16 Os 0.500 0.250 0.750
17 Os 0.000 0.000 0.000


Record 6
# Tm2Si4Os3

An optimized crystal structure of Tm2Si4Os3 (PBE, the Alexandria database).

Calculated values
Relative energy among the computed polymorphs (meV per atom): 211

Cell lengths 5.484, 5.484, 6.537 Å; angles 102.18, 102.18, 119.81 degrees
Atoms (fractional coordinates):
1 Tm 0.634 0.634 0.267
2 Tm 0.366 0.366 0.733
3 Si 0.018 0.664 0.682
4 Si 0.664 0.018 0.682
5 Si 0.982 0.336 0.318
6 Si 0.336 0.982 0.318
7 Os 0.500 0.000 0.000
8 Os 0.000 0.000 0.000
9 Os 0.000 0.500 0.000


Record 7
# TmSi4Os4

An optimized crystal structure of TmSi4Os4 (PBE, the Alexandria database).

Cell lengths 5.954, 5.954, 7.995 Å; angles 90.00, 90.00, 90.00 degrees
Atoms (fractional coordinates):
1 Tm 0.000 0.000 0.000
2 Tm 0.500 0.500 0.500
3 Si 0.500 0.803 0.821
4 Si 0.500 0.197 0.821
5 Si 0.803 0.500 0.179
6 Si 0.197 0.500 0.179
7 Si 0.303 0.000 0.321
8 Si 0.697 0.000 0.321
9 Si 0.000 0.303 0.679
10 Si 0.000 0.697 0.679
11 Os 0.247 0.500 0.877
12 Os 0.753 0.500 0.877
13 Os 0.500 0.753 0.123
14 Os 0.500 0.247 0.123
15 Os 0.000 0.747 0.377
16 Os 0.000 0.253 0.377
17 Os 0.253 0.000 0.623
18 Os 0.747 0.000 0.623


Record 8
# TmSi2Os

An optimized crystal structure of TmSi2Os (PBE, the Alexandria database).

Cell lengths 3.072, 3.072, 8.626 Å; angles 79.74, 79.74, 60.00 degrees
Atoms (fractional coordinates):
1 Si 0.736 0.736 0.791
2 Si 0.264 0.264 0.209
3 Tm 0.500 0.500 0.500
4 Os 0.000 0.000 0.000


Q: Which energy relative to the elements, uncorrected values were calculated for the entries above? A: 0.827 -0.546 -0.635 -0.488 -0.591 -0.424 -0.341 -0.023, in eV/atom.